w | # DyEr3Tm7 PBE optimized geometry
# Total magnetic moment: 0.0 μB/f.u.
data_DyEr3Tm7
_chemical_formula_sum 'Dy1 Er3 Tm7'
_symmetry_space_group_name_H-M 'P 1'
_symmetry_Int_Tables_number 1
_cell_length_a 6.835
_cell_length_b 5.428
_cell_length_c 9.783
_cell_angle_alpha 90.00
_cell_angle_beta 110.00
_cell_angle_gamma 90.00
loop_
_symmetry_equiv_pos_as_xyz
'x,y,z'
loop_
_atom_site_label
_atom_site_fract_x
_atom_site_fract_y
_atom_site_fract_z
Dy1 0.000 0.000 0.000
Er1 0.278 0.500 0.498
Er2 0.500 0.000 0.000
Er3 0.722 0.500 0.502
Tm1 0.000 0.000 0.500
Tm2 0.147 0.500 0.791
Tm3 0.321 0.500 0.141
Tm4 0.419 0.000 0.331
Tm5 0.581 0.000 0.669
Tm6 0.679 0.500 0.859
Tm7 0.853 0.500 0.209



x | # DyEr3Tm7 PBE optimized geometry
# Total magnetic moment: 0.0 μB/f.u.
data_DyEr3Tm7
_chemical_formula_sum 'Dy1 Er3 Tm7'
_symmetry_space_group_name_H-M 'P 1'
_symmetry_Int_Tables_number 1
_cell_length_a 6.933
_cell_length_b 6.933
_cell_length_c 8.460
_cell_angle_alpha 90.00
_cell_angle_beta 90.00
_cell_angle_gamma 120.00
loop_
_symmetry_equiv_pos_as_xyz
'x,y,z'
loop_
_atom_site_label
_atom_site_fract_x
_atom_site_fract_y
_atom_site_fract_z
Dy1 0.000 0.000 0.000
Er1 0.334 0.167 0.664
Er2 0.833 0.167 0.664
Er3 0.833 0.666 0.664
Tm1 0.166 0.331 0.330
Tm2 0.166 0.834 0.330
Tm3 0.501 0.002 0.000
Tm4 0.501 0.499 0.000
Tm5 0.667 0.333 0.329
Tm6 0.669 0.834 0.330
Tm7 0.998 0.499 0.000



Which one sits at the top of the stability order? w does.



w | # Dy3Er2Tm2 PBE optimized geometry
# Total magnetic moment: 0.0 μB/f.u.
data_Dy3Er2Tm2
_chemical_formula_sum 'Dy3 Er2 Tm2'
_symmetry_space_group_name_H-M 'P 1'
_symmetry_Int_Tables_number 1
_cell_length_a 11.912
_cell_length_b 11.912
_cell_length_c 3.500
_cell_angle_alpha 98.42
_cell_angle_beta 98.42
_cell_angle_gamma 26.13
loop_
_symmetry_equiv_pos_as_xyz
'x,y,z'
loop_
_atom_site_label
_atom_site_fract_x
_atom_site_fract_y
_atom_site_fract_z
Dy1 0.000 0.000 0.000
Dy2 0.276 0.276 0.776
Dy3 0.724 0.724 0.224
Er1 0.421 0.421 0.420
Er2 0.579 0.579 0.580
Tm1 0.142 0.142 0.143
Tm2 0.858 0.858 0.857



x | # Dy3Er2Tm2 PBE optimized geometry
# Total magnetic moment: 0.0 μB/f.u.
data_Dy3Er2Tm2
_chemical_formula_sum 'Dy3 Er2 Tm2'
_symmetry_space_group_name_H-M 'P 1'
_symmetry_Int_Tables_number 1
_cell_length_a 6.072
_cell_length_b 6.072
_cell_length_c 7.846
_cell_angle_alpha 97.45
_cell_angle_beta 97.45
_cell_angle_gamma 48.22
loop_
_symmetry_equiv_pos_as_xyz
'x,y,z'
loop_
_atom_site_label
_atom_site_fract_x
_atom_site_fract_y
_atom_site_fract_z
Dy1 0.000 0.000 0.000
Dy2 0.143 0.143 0.429
Dy3 0.857 0.857 0.571
Er1 0.286 0.286 0.857
Er2 0.714 0.714 0.143
Tm1 0.428 0.428 0.286
Tm2 0.572 0.572 0.714



Which one sits at the top of the stability order? x does.



w | # Dy4Er4Tm3 PBE optimized geometry
# Total magnetic moment: 0.0 μB/f.u.
data_Dy4Er4Tm3
_chemical_formula_sum 'Dy4 Er4 Tm3'
_symmetry_space_group_name_H-M 'P 1'
_symmetry_Int_Tables_number 1
_cell_length_a 3.478
_cell_length_b 5.522
_cell_length_c 17.815
_cell_angle_alpha 81.13
_cell_angle_beta 84.41
_cell_angle_gamma 90.00
loop_
_symmetry_equiv_pos_as_xyz
'x,y,z'
loop_
_atom_site_label
_atom_site_fract_x
_atom_site_fract_y
_atom_site_fract_z
Dy1 0.090 0.090 0.320
Dy2 0.233 0.733 0.034
Dy3 0.767 0.267 0.966
Dy4 0.910 0.910 0.680
Er1 0.045 0.545 0.409
Er2 0.179 0.180 0.140
Er3 0.821 0.820 0.860
Er4 0.955 0.455 0.591
Tm1 0.364 0.364 0.773
Tm2 0.500 0.000 0.500
Tm3 0.636 0.636 0.227



x | # Dy4Er4Tm3 PBE optimized geometry
# Total magnetic moment: 0.0 μB/f.u.
data_Dy4Er4Tm3
_chemical_formula_sum 'Dy4 Er4 Tm3'
_symmetry_space_group_name_H-M 'P 1'
_symmetry_Int_Tables_number 1
_cell_length_a 10.679
_cell_length_b 10.679
_cell_length_c 3.514
_cell_angle_alpha 99.21
_cell_angle_beta 99.21
_cell_angle_gamma 62.06
loop_
_symmetry_equiv_pos_as_xyz
'x,y,z'
loop_
_atom_site_label
_atom_site_fract_x
_atom_site_fract_y
_atom_site_fract_z
Dy1 0.204 0.796 0.000
Dy2 0.277 0.277 0.275
Dy3 0.723 0.723 0.725
Dy4 0.796 0.204 0.000
Er1 0.091 0.570 0.828
Er2 0.430 0.909 0.172
Er3 0.570 0.091 0.828
Er4 0.909 0.430 0.172
Tm1 0.109 0.109 0.609
Tm2 0.500 0.500 0.500
Tm3 0.891 0.891 0.391



Which one sits at the top of the stability order? w does.



w | # Dy5Er2Tm4 PBE optimized geometry
# Total magnetic moment: 0.0 μB/f.u.
data_Dy5Er2Tm4
_chemical_formula_sum 'Dy5 Er2 Tm4'
_symmetry_space_group_name_H-M 'P 1'
_symmetry_Int_Tables_number 1
_cell_length_a 6.530
_cell_length_b 6.530
_cell_length_c 9.111
_cell_angle_alpha 104.28
_cell_angle_beta 104.28
_cell_angle_gamma 67.22
loop_
_symmetry_equiv_pos_as_xyz
'x,y,z'
loop_
_atom_site_label
_atom_site_fract_x
_atom_site_fract_y
_atom_site_fract_z
Dy1 0.000 0.000 0.000
Dy2 0.211 0.653 0.723
Dy3 0.347 0.789 0.277
Dy4 0.653 0.211 0.723
Dy5 0.789 0.347 0.277
Er1 0.146 0.146 0.620
Er2 0.854 0.854 0.380
Tm1 0.316 0.316 0.000
Tm2 0.332 0.332 0.379
Tm3 0.668 0.668 0.621
Tm4 0.684 0.684 0.000



x | # Dy5Er2Tm4 PBE optimized geometry
# Total magnetic moment: 0.0 μB/f.u.
data_Dy5Er2Tm4
_chemical_formula_sum 'Dy5 Er2 Tm4'
_symmetry_space_group_name_H-M 'P 1'
_symmetry_Int_Tables_number 1
_cell_length_a 12.447
_cell_length_b 12.447
_cell_length_c 12.447
_cell_angle_alpha 164.04
_cell_angle_beta 138.18
_cell_angle_gamma 45.04
loop_
_symmetry_equiv_pos_as_xyz
'x,y,z'
loop_
_atom_site_label
_atom_site_fract_x
_atom_site_fract_y
_atom_site_fract_z
Dy1 0.000 0.000 0.000
Dy2 0.054 0.356 0.698
Dy3 0.342 0.644 0.698
Dy4 0.658 0.356 0.302
Dy5 0.946 0.644 0.302
Er1 0.269 0.769 0.500
Er2 0.731 0.231 0.500
Tm1 0.312 0.500 0.812
Tm2 0.403 0.903 0.500
Tm3 0.597 0.097 0.500
Tm4 0.688 0.500 0.188



Which one sits at the top of the stability order? w does.



w | # Dy7Er3Tm2 PBE optimized geometry
# Total magnetic moment: 0.0 μB/f.u.
data_Dy7Er3Tm2
_chemical_formula_sum 'Dy7 Er3 Tm2'
_symmetry_space_group_name_H-M 'P 1'
_symmetry_Int_Tables_number 1
_cell_length_a 5.720
_cell_length_b 3.535
_cell_length_c 18.475
_cell_angle_alpha 90.00
_cell_angle_beta 93.59
_cell_angle_gamma 90.00
loop_
_symmetry_equiv_pos_as_xyz
'x,y,z'
loop_
_atom_site_label
_atom_site_fract_x
_atom_site_fract_y
_atom_site_fract_z
Dy1 0.000 0.000 0.000
Dy2 0.184 0.500 0.181
Dy3 0.258 0.500 0.536
Dy4 0.319 0.000 0.856
Dy5 0.681 0.000 0.144
Dy6 0.742 0.500 0.464
Dy7 0.816 0.500 0.819
Er1 0.219 0.000 0.367
Er2 0.500 0.500 0.000
Er3 0.781 0.000 0.633
Tm1 0.293 0.500 0.705
Tm2 0.707 0.500 0.295



x | # Dy7Er3Tm2 PBE optimized geometry
# Total magnetic moment: 0.0 μB/f.u.
data_Dy7Er3Tm2
_chemical_formula_sum 'Dy7 Er3 Tm2'
_symmetry_space_group_name_H-M 'P 1'
_symmetry_Int_Tables_number 1
_cell_length_a 6.259
_cell_length_b 3.482
_cell_length_c 17.211
_cell_angle_alpha 90.00
_cell_angle_beta 96.12
_cell_angle_gamma 90.00
loop_
_symmetry_equiv_pos_as_xyz
'x,y,z'
loop_
_atom_site_label
_atom_site_fract_x
_atom_site_fract_y
_atom_site_fract_z
Dy1 0.000 0.000 0.000
Dy2 0.224 0.500 0.169
Dy3 0.255 0.500 0.498
Dy4 0.275 0.000 0.833
Dy5 0.725 0.000 0.167
Dy6 0.745 0.500 0.502
Dy7 0.776 0.500 0.831
Er1 0.450 0.000 0.342
Er2 0.500 0.500 0.000
Er3 0.550 0.000 0.658
Tm1 0.060 0.500 0.672
Tm2 0.940 0.500 0.328



Which one sits at the top of the stability order? x does.



w | # Dy3Er6Tm2 PBE optimized geometry
# Total magnetic moment: 0.0 μB/f.u.
data_Dy3Er6Tm2
_chemical_formula_sum 'Dy3 Er6 Tm2'
_symmetry_space_group_name_H-M 'P 1'
_symmetry_Int_Tables_number 1
_cell_length_a 31.454
_cell_length_b 31.454
_cell_length_c 31.454
_cell_angle_alpha 6.39
_cell_angle_beta 6.39
_cell_angle_gamma 6.39
loop_
_symmetry_equiv_pos_as_xyz
'x,y,z'
loop_
_atom_site_label
_atom_site_fract_x
_atom_site_fract_y
_atom_site_fract_z
Dy1 0.000 0.000 0.000
Dy2 0.272 0.272 0.272
Dy3 0.728 0.728 0.728
Er1 0.091 0.091 0.091
Er2 0.182 0.182 0.182
Er3 0.364 0.364 0.364
Er4 0.636 0.636 0.636
Er5 0.818 0.818 0.818
Er6 0.909 0.909 0.909
Tm1 0.455 0.455 0.455
Tm2 0.545 0.545 0.545



x | # Dy3Er6Tm2 PBE optimized geometry
# Total magnetic moment: 0.0 μB/f.u.
data_Dy3Er6Tm2
_chemical_formula_sum 'Dy3 Er6 Tm2'
_symmetry_space_group_name_H-M 'P 1'
_symmetry_Int_Tables_number 1
_cell_length_a 16.705
_cell_length_b 16.705
_cell_length_c 16.705
_cell_angle_alpha 163.94
_cell_angle_beta 163.94
_cell_angle_gamma 22.78
loop_
_symmetry_equiv_pos_as_xyz
'x,y,z'
loop_
_atom_site_label
_atom_site_fract_x
_atom_site_fract_y
_atom_site_fract_z
Dy1 0.000 0.000 0.000
Dy2 0.200 0.200 0.000
Dy3 0.800 0.800 0.000
Er1 0.121 0.621 0.500
Er2 0.304 0.304 0.000
Er3 0.379 0.879 0.500
Er4 0.621 0.121 0.500
Er5 0.696 0.696 0.000
Er6 0.879 0.379 0.500
Tm1 0.454 0.454 0.000
Tm2 0.546 0.546 0.000



Which one sits at the top of the stability order? w does.



w | # DyEr3Tm6 PBE optimized geometry
# Total magnetic moment: 0.0 μB/f.u.
data_DyEr3Tm6
_chemical_formula_sum 'Dy2 Er6 Tm12'
_symmetry_space_group_name_H-M 'P 1'
_symmetry_Int_Tables_number 1
_cell_length_a 11.333
_cell_length_b 11.333
_cell_length_c 6.268
_cell_angle_alpha 90.00
_cell_angle_beta 90.00
_cell_angle_gamma 130.68
loop_
_symmetry_equiv_pos_as_xyz
'x,y,z'
loop_
_atom_site_label
_atom_site_fract_x
_atom_site_fract_y
_atom_site_fract_z
Dy1 0.162 0.838 0.500
Dy2 0.838 0.162 0.000
Er1 0.042 0.296 0.525
Er2 0.296 0.042 0.025
Er3 0.420 0.580 0.421
Er4 0.580 0.420 0.921
Er5 0.704 0.958 0.525
Er6 0.958 0.704 0.025
Tm1 0.015 0.985 0.696
Tm2 0.104 0.542 0.186
Tm3 0.257 0.379 0.948
Tm4 0.301 0.699 0.730
Tm5 0.379 0.257 0.448
Tm6 0.458 0.896 0.186
Tm7 0.542 0.104 0.686
Tm8 0.621 0.743 0.948
Tm9 0.699 0.301 0.230
Tm10 0.743 0.621 0.448
Tm11 0.896 0.458 0.686
Tm12 0.985 0.015 0.196



x | # DyEr3Tm6 PBE optimized geometry
# Total magnetic moment: 0.0 μB/f.u.
data_DyEr3Tm6
_chemical_formula_sum 'Dy2 Er6 Tm12'
_symmetry_space_group_name_H-M 'P 1'
_symmetry_Int_Tables_number 1
_cell_length_a 10.788
_cell_length_b 10.788
_cell_length_c 6.086
_cell_angle_alpha 90.00
_cell_angle_beta 90.00
_cell_angle_gamma 119.75
loop_
_symmetry_equiv_pos_as_xyz
'x,y,z'
loop_
_atom_site_label
_atom_site_fract_x
_atom_site_fract_y
_atom_site_fract_z
Dy1 0.209 0.791 0.500
Dy2 0.791 0.209 0.000
Er1 0.064 0.280 0.299
Er2 0.280 0.064 0.799
Er3 0.391 0.609 0.414
Er4 0.609 0.391 0.914
Er5 0.720 0.936 0.299
Er6 0.936 0.720 0.799
Tm1 0.037 0.458 0.704
Tm2 0.049 0.951 0.264
Tm3 0.286 0.714 0.984
Tm4 0.288 0.383 0.872
Tm5 0.383 0.288 0.372
Tm6 0.458 0.037 0.204
Tm7 0.542 0.963 0.704
Tm8 0.617 0.712 0.872
Tm9 0.712 0.617 0.372
Tm10 0.714 0.286 0.484
Tm11 0.951 0.049 0.764
Tm12 0.963 0.542 0.204



Which one sits at the top of the stability order? w does.



w | # Dy3Er7Tm PBE optimized geometry
# Total magnetic moment: 0.4 μB/f.u.
data_Dy3Er7Tm
_chemical_formula_sum 'Dy3 Er7 Tm1'
_symmetry_space_group_name_H-M 'P 1'
_symmetry_Int_Tables_number 1
_cell_length_a 8.311
_cell_length_b 8.311
_cell_length_c 5.725
_cell_angle_alpha 110.10
_cell_angle_beta 110.10
_cell_angle_gamma 83.31
loop_
_symmetry_equiv_pos_as_xyz
'x,y,z'
loop_
_atom_site_label
_atom_site_fract_x
_atom_site_fract_y
_atom_site_fract_z
Dy1 0.000 0.000 0.000
Dy2 0.209 0.791 0.500
Dy3 0.791 0.209 0.500
Er1 0.001 0.401 0.200
Er2 0.208 0.208 0.706
Er3 0.401 0.001 0.200
Er4 0.500 0.500 0.500
Er5 0.599 0.999 0.800
Er6 0.792 0.792 0.294
Er7 0.999 0.599 0.800
Tm1 0.500 0.500 0.000



x | # Dy3Er7Tm PBE optimized geometry
# Total magnetic moment: 0.0 μB/f.u.
data_Dy3Er7Tm
_chemical_formula_sum 'Dy3 Er7 Tm1'
_symmetry_space_group_name_H-M 'P 1'
_symmetry_Int_Tables_number 1
_cell_length_a 6.862
_cell_length_b 5.447
_cell_length_c 9.815
_cell_angle_alpha 90.00
_cell_angle_beta 110.00
_cell_angle_gamma 90.00
loop_
_symmetry_equiv_pos_as_xyz
'x,y,z'
loop_
_atom_site_label
_atom_site_fract_x
_atom_site_fract_y
_atom_site_fract_z
Dy1 0.000 0.000 0.000
Dy2 0.279 0.500 0.498
Dy3 0.721 0.500 0.502
Er1 0.000 0.000 0.500
Er2 0.147 0.500 0.791
Er3 0.321 0.500 0.139
Er4 0.419 0.000 0.330
Er5 0.581 0.000 0.670
Er6 0.679 0.500 0.861
Er7 0.853 0.500 0.209
Tm1 0.500 0.000 0.000



Which one sits at the top of the stability order? x does.